## CdHg2W (PBEsol)

Data for a relaxed CdHg2W crystal.

The crystal system is monoclinic. Its final energy is -14.12 eV/cell. Its theoretical density is 15.5 Mg/m³. As for the energy of formation from the pure elements: 0.5041 eV per atom.

It has space group P2/m (No. 10), with a = 5.212 Å, b = 2.909 Å, c = 5.363 Å, α = 90.00°, β = 112.93° and γ = 90.00°. The distinct sites, in fractional coordinates, are Cd at (0.000, 0.000, 0.000), Hg at (0.500, 0.000, 0.500), Hg at (0.500, 0.500, 0.000) and W at (0.000, 0.500, 0.500).